[1]
{"formula": "Na9Cd4Hg11", "functional": "PBE", "state": "optimized geometry", "lattice": [[-0.620, -1.766, 2.884], [-12.116, -4.718, -5.494], [11.541, -7.797, -2.292]], "species": ["Na", "Na", "Na", "Na", "Na", "Na", "Na", "Na", "Na", "Cd", "Cd", "Cd", "Cd", "Hg", "Hg", "Hg", "Hg", "Hg", "Hg", "Hg", "Hg", "Hg", "Hg", "Hg"], "frac_coords": [[0.500, 0.620, 0.153], [0.500, 0.380, 0.847], [0.500, 0.153, 0.620], [0.500, 0.847, 0.380], [0.500, 0.793, 0.952], [0.500, 0.207, 0.048], [0.500, 0.952, 0.793], [0.500, 0.048, 0.207], [0.500, 0.500, 0.500], [0.500, 0.561, 0.757], [0.500, 0.439, 0.243], [0.500, 0.757, 0.561], [0.500, 0.243, 0.439], [0.000, 0.598, 0.958], [0.000, 0.402, 0.042], [0.000, 0.958, 0.598], [0.000, 0.042, 0.402], [0.000, 0.639, 0.361], [0.000, 0.361, 0.639], [0.000, 0.834, 0.166], [0.000, 0.166, 0.834], [0.000, 0.000, 0.000], [0.000, 0.726, 0.726], [0.000, 0.274, 0.274]], "sg": "Cmmm (65)", "final_energy_ev_per_atom": -0.97, "e_form_ev_per_atom": -0.19, "dos_at_fermi_per_ev_cell": 7.66}

=====

[2]
{"formula": "Na12Cd3Hg", "functional": "PBE", "state": "optimized geometry", "lattice": [[-0.528, -2.952, 3.902], [-2.580, -3.167, -2.745], [16.617, -9.357, -4.828]], "species": ["Na", "Na", "Na", "Na", "Na", "Na", "Na", "Na", "Na", "Na", "Na", "Na", "Cd", "Cd", "Cd", "Hg"], "frac_coords": [[0.500, 0.500, 0.000], [0.500, 0.500, 0.248], [0.500, 0.500, 0.500], [0.500, 0.500, 0.752], [0.500, 0.000, 0.123], [0.500, 0.000, 0.375], [0.500, 0.000, 0.625], [0.500, 0.000, 0.877], [0.000, 0.500, 0.123], [0.000, 0.500, 0.375], [0.000, 0.500, 0.625], [0.000, 0.500, 0.877], [0.000, 0.000, 0.249], [0.000, 0.000, 0.500], [0.000, 0.000, 0.751], [0.000, 0.000, 0.000]], "sg": "P4/mmm (123)", "final_energy_ev_per_atom": -1.24, "e_form_ev_per_atom": -0.06, "dos_at_fermi_per_ev_cell": 6.31}

=====

[3]
{"formula": "Na5Cd4Hg4", "functional": "PBE", "state": "optimized geometry", "lattice": [[4.443, 0.000, 1.130], [2.222, 8.718, 0.565], [0.074, 0.000, 9.014]], "species": ["Na", "Na", "Na", "Na", "Na", "Cd", "Cd", "Cd", "Cd", "Hg", "Hg", "Hg", "Hg"], "frac_coords": [[0.708, 0.922, 0.662], [0.292, 0.078, 0.338], [0.000, 0.000, 0.000], [0.630, 0.662, 0.078], [0.370, 0.338, 0.922], [0.896, 0.529, 0.679], [0.575, 0.321, 0.529], [0.104, 0.471, 0.321], [0.425, 0.679, 0.471], [0.762, 0.300, 0.176], [0.238, 0.700, 0.824], [0.938, 0.824, 0.300], [0.062, 0.176, 0.700]], "sg": "I4/m (87)", "final_energy_ev_per_atom": -1.05, "e_form_ev_per_atom": -0.17, "dos_at_fermi_per_ev_cell": 4.74}

=====

[4]
{"formula": "Na2CdHg8", "functional": "PBE", "state": "optimized geometry", "lattice": [[-1.354, 2.835, -3.656], [-3.510, -3.111, -1.113], [-7.861, 6.128, 7.663]], "species": ["Na", "Na", "Cd", "Hg", "Hg", "Hg", "Hg", "Hg", "Hg", "Hg", "Hg"], "frac_coords": [[0.000, 0.000, 0.319], [0.000, 0.000, 0.681], [0.000, 0.000, 0.000], [0.000, 0.500, 0.500], [0.500, 0.000, 0.500], [0.500, 0.500, 0.321], [0.500, 0.500, 0.679], [0.000, 0.500, 0.143], [0.500, 0.000, 0.143], [0.000, 0.500, 0.857], [0.500, 0.000, 0.857]], "sg": "P4/mmm (123)", "final_energy_ev_per_atom": -0.67, "de_polymorph_ev_per_atom": 0.0000, "e_form_ev_per_atom": -0.13, "dos_at_fermi_per_ev_cell": 2.56}

=====

[5]
{"formula": "Na2Cd4Hg3", "functional": "PBE", "state": "optimized geometry", "lattice": [[-1.313, -3.933, 3.928], [3.471, -1.055, 2.928], [-4.797, 4.213, 7.244]], "species": ["Na", "Na", "Cd", "Cd", "Cd", "Cd", "Hg", "Hg", "Hg"], "frac_coords": [[0.336, 0.332, 0.774], [0.664, 0.668, 0.226], [0.671, 0.664, 0.889], [0.988, 0.005, 0.339], [0.012, 0.995, 0.661], [0.329, 0.336, 0.111], [0.338, 0.331, 0.433], [0.000, 0.000, 0.000], [0.662, 0.669, 0.567]], "sg": "P-1 (2)", "final_energy_ev_per_atom": -0.90, "e_form_ev_per_atom": -0.10, "dos_at_fermi_per_ev_cell": 2.66}

=====

[6]
{"formula": "Na5Cd5Hg", "functional": "PBE", "state": "optimized geometry", "lattice": [[-5.598, 1.108, 0.959], [1.531, -4.087, -3.801], [-0.110, -7.431, 7.946]], "species": ["Na", "Na", "Na", "Na", "Na", "Cd", "Cd", "Cd", "Cd", "Cd", "Hg"], "frac_coords": [[0.667, 0.333, 0.183], [0.667, 0.333, 0.817], [0.333, 0.667, 0.318], [0.333, 0.667, 0.682], [0.000, 0.000, 0.000], [0.340, 0.170, 0.500], [0.000, 0.000, 0.270], [0.830, 0.660, 0.500], [0.830, 0.170, 0.500], [0.000, 0.000, 0.730], [0.333, 0.667, 0.000]], "sg": "P-6m2 (187)", "final_energy_ev_per_atom": -1.13, "e_form_ev_per_atom": -0.09, "dos_at_fermi_per_ev_cell": 3.82}